(1)
A plane-wave DFT calculation with GGA-PBE was carried out for a relaxed structure of Hf6CoBi2.

## Properties
SG: P-62m, No. 189
Total energy in eV/atom: -8.588

abc: 3.608 7.852 7.852
angles: 120.00 90.00 90.00
Fractional positions:
Bi 0.000 0.667 0.333
Bi 0.000 0.333 0.667
Co 0.500 0.000 0.000
Hf 0.000 0.234 0.000
Hf 0.500 0.611 0.000
Hf 0.000 0.000 0.234
Hf 0.500 0.389 0.389
Hf 0.500 0.000 0.611
Hf 0.000 0.766 0.766


(2)
A plane-wave DFT calculation with GGA-PBE was carried out for a relaxed structure of Hf2CoBi.

## Properties
SG: F-43m, No. 216
Total energy in eV/atom: -7.345

abc: 4.831 4.831 4.831
angles: 60.00 60.00 60.00
Each line ends with the local moment (μB).
Fractional positions:
Bi 0.500 0.500 0.500  0.00
Co 0.250 0.250 0.250  1.00
Hf 0.000 0.000 0.000  0.44
Hf 0.750 0.750 0.750  0.78